[1]
Material: KBe2As
Method: DFT, PBE
State: optimized geometry

* calculated volume: 21.01 Å³ per atom
* formation enthalpy at 0 K: 0.34 eV per atom

The structure in CIF format:
```
data_KBe2As
_chemical_formula_sum 'K3 Be6 As3'
_symmetry_space_group_name_H-M 'R -3 m'
_symmetry_Int_Tables_number 166
_symmetry_space_group_name_Hall '-R 3 2"'
_cell_length_a 4.0206
_cell_length_b 4.0206
_cell_length_c 18.0094
_cell_angle_alpha 90.00
_cell_angle_beta 90.00
_cell_angle_gamma 120.00
loop_
_atom_site_label
_atom_site_fract_x
_atom_site_fract_y
_atom_site_fract_z
K1 0.0000 0.0000 0.0000
Be1 0.0000 0.0000 0.1823
As1 0.0000 0.0000 0.5000
```



[2]
Material: KBeAs2
Method: DFT, PBE
State: optimized geometry

* calculated volume: 27.03 Å³ per atom
* formation enthalpy at 0 K: -0.04 eV per atom

The structure in CIF format:
```
data_KBeAs2
_chemical_formula_sum 'K2 Be2 As4'
_symmetry_space_group_name_H-M 'C 1 m 1'
_symmetry_Int_Tables_number 8
_cell_length_a 10.7214
_cell_length_b 3.6417
_cell_length_c 5.6646
_cell_angle_alpha 90.00
_cell_angle_beta 102.15
_cell_angle_gamma 90.00
loop_
_symmetry_equiv_pos_as_xyz
'x,y,z'
'x,-y,z'
'x+1/2,y+1/2,z'
'x+1/2,-y+1/2,z'
loop_
_atom_site_label
_atom_site_fract_x
_atom_site_fract_y
_atom_site_fract_z
K1 0.0000 0.0000 0.0000
Be1 0.2955 0.5000 0.4643
As1 0.1971 0.0000 0.5694
As2 0.4226 0.0000 0.4664
```



[3]
Material: KBe2As
Method: DFT, PBE
State: optimized geometry

* calculated volume: 25.84 Å³ per atom
* formation enthalpy at 0 K: 0.29 eV per atom

The structure in CIF format:
```
data_KBe2As
_chemical_formula_sum 'K2 Be4 As2'
_symmetry_space_group_name_H-M 'I m m 2'
_symmetry_Int_Tables_number 44
_cell_length_a 3.7097
_cell_length_b 6.9670
_cell_length_c 7.9997
_cell_angle_alpha 90.00
_cell_angle_beta 90.00
_cell_angle_gamma 90.00
loop_
_symmetry_equiv_pos_as_xyz
'x,y,z'
'-x,-y,z'
'-x,y,z'
'x,-y,z'
'x+1/2,y+1/2,z+1/2'
'-x+1/2,-y+1/2,z+1/2'
'-x+1/2,y+1/2,z+1/2'
'x+1/2,-y+1/2,z+1/2'
loop_
_atom_site_label
_atom_site_fract_x
_atom_site_fract_y
_atom_site_fract_z
K1 0.0000 0.0000 0.0000
Be1 0.0000 0.0000 0.5032
Be2 0.0000 0.5000 0.1216
As1 0.0000 0.5000 0.8567
```



[4]
Material: KLiBe2As2
Method: DFT, PBE
State: optimized geometry

* calculated volume: 19.09 Å³ per atom
* formation enthalpy at 0 K: -0.42 eV per atom

The structure in CIF format:
```
data_KLiBe2As2
_chemical_formula_sum 'K1 Li1 Be2 As2'
_symmetry_space_group_name_H-M 'P -3 m 1'
_symmetry_Int_Tables_number 164
_symmetry_space_group_name_Hall '-P 3 2"'
_cell_length_a 3.8441
_cell_length_b 3.8441
_cell_length_c 8.9485
_cell_angle_alpha 90.00
_cell_angle_beta 90.00
_cell_angle_gamma 120.00
loop_
_atom_site_label
_atom_site_fract_x
_atom_site_fract_y
_atom_site_fract_z
K1 0.0000 0.0000 0.0000
Li1 0.0000 0.0000 0.5000
Be1 0.3333 0.6667 0.3071
As1 0.3333 0.6667 0.7070
```



[5]
Material: K2MgBeAs2
Method: DFT, PBE
State: optimized geometry

* calculated volume: 24.59 Å³ per atom
* formation enthalpy at 0 K: -0.49 eV per atom

The structure in CIF format:
```
data_K2MgBeAs2
_chemical_formula_sum 'K8 Mg4 Be4 As8'
_symmetry_space_group_name_H-M 'I b a m'
_symmetry_Int_Tables_number 72
_symmetry_space_group_name_Hall '-I 2 2c'
_cell_length_a 6.1430
_cell_length_b 15.5949
_cell_length_c 6.1600
_cell_angle_alpha 90.00
_cell_angle_beta 90.00
_cell_angle_gamma 90.00
loop_
_atom_site_label
_atom_site_fract_x
_atom_site_fract_y
_atom_site_fract_z
K1 0.2468 0.1740 0.0000
Mg1 0.0000 0.0000 0.2500
Be1 0.0000 0.5000 0.2500
As1 0.2175 0.4128 0.0000
```



[6]
Material: KBeAsO4
Method: DFT, PBE
State: optimized geometry

* E_form (uncorrected): -1902 meV per atom
* calculated volume: 14.47 Å³ per atom

The structure in CIF format:
```
data_KBeAsO4
_chemical_formula_sum 'K2 Be2 As2 O8'
_symmetry_space_group_name_H-M 'I -4'
_symmetry_Int_Tables_number 82
_cell_length_a 5.2642
_cell_length_b 5.2642
_cell_length_c 7.3108
_cell_angle_alpha 90.00
_cell_angle_beta 90.00
_cell_angle_gamma 90.00
loop_
_symmetry_equiv_pos_as_xyz
'x,y,z'
'y,-x,-z'
'-x,-y,z'
'-y,x,-z'
'x+1/2,y+1/2,z+1/2'
'y+1/2,-x+1/2,-z+1/2'
'-x+1/2,-y+1/2,z+1/2'
'-y+1/2,x+1/2,-z+1/2'
loop_
_atom_site_label
_atom_site_fract_x
_atom_site_fract_y
_atom_site_fract_z
K1 0.0000 0.0000 0.0000
Be1 0.0000 0.5000 0.2500
As1 0.0000 0.0000 0.5000
O1 0.0967 0.2502 0.3668
```



[7]
Material: K2BeAs2O6
Method: DFT, PBE
State: optimized geometry

* E_form (uncorrected): -1525 meV per atom
* calculated volume: 16.02 Å³ per atom

The structure in CIF format:
```
data_K2BeAs2O6
_chemical_formula_sum 'K4 Be2 As4 O12'
_symmetry_space_group_name_H-M 'C 1 2/m 1'
_symmetry_Int_Tables_number 12
_cell_length_a 12.1589
_cell_length_b 5.2277
_cell_length_c 5.9353
_cell_angle_alpha 90.00
_cell_angle_beta 110.88
_cell_angle_gamma 90.00
loop_
_symmetry_equiv_pos_as_xyz
'x,y,z'
'-x,-y,-z'
'-x,y,-z'
'x,-y,z'
'x+1/2,y+1/2,z'
'-x+1/2,-y+1/2,-z'
'-x+1/2,y+1/2,-z'
'x+1/2,-y+1/2,z'
loop_
_atom_site_label
_atom_site_fract_x
_atom_site_fract_y
_atom_site_fract_z
K1 0.2192 0.0000 0.1896
Be1 0.0000 0.0000 0.5000
As1 0.0239 0.5000 0.2196
O1 0.0461 0.2289 0.7293
O2 0.1731 0.5000 0.3368
```



[8]
Material: K2BeAsO4
Method: DFT, PBE
State: optimized geometry

* E_form (uncorrected): -1608 meV per atom
* calculated volume: 17.44 Å³ per atom

The structure in CIF format:
```
data_K2BeAsO4
_chemical_formula_sum 'K16 Be8 As8 O32'
_symmetry_space_group_name_H-M 'F d d d'
_symmetry_Int_Tables_number 70
_cell_length_a 4.8270
_cell_length_b 11.8581
_cell_length_c 19.4968
_cell_angle_alpha 90.00
_cell_angle_beta 90.00
_cell_angle_gamma 90.00
loop_
_symmetry_equiv_pos_as_xyz
'x,y,z'
'-x,-y,-z'
'-x+1/4,-y+1/4,z'
'x+1/4,y+1/4,-z'
'x,-y+1/4,-z+1/4'
'-x,y+1/4,z+1/4'
'-x+1/4,y,-z+1/4'
'x+1/4,-y,z+1/4'
'x,y+1/2,z+1/2'
'-x,-y+1/2,-z+1/2'
'-x+1/4,-y+3/4,z+1/2'
'x+1/4,y+3/4,-z+1/2'
'x,-y+3/4,-z+3/4'
'-x,y+3/4,z+3/4'
'-x+1/4,y+1/2,-z+3/4'
'x+1/4,-y+1/2,z+3/4'
'x+1/2,y,z+1/2'
'-x+1/2,-y,-z+1/2'
'-x+3/4,-y+1/4,z+1/2'
'x+3/4,y+1/4,-z+1/2'
'x+1/2,-y+1/4,-z+3/4'
'-x+1/2,y+1/4,z+3/4'
'-x+3/4,y,-z+3/4'
'x+3/4,-y,z+3/4'
'x+1/2,y+1/2,z'
'-x+1/2,-y+1/2,-z'
'-x+3/4,-y+3/4,z'
'x+3/4,y+3/4,-z'
'x+1/2,-y+3/4,-z+1/4'
'-x+1/2,y+3/4,z+1/4'
'-x+3/4,y+1/2,-z+1/4'
'x+3/4,-y+1/2,z+1/4'
loop_
_atom_site_label
_atom_site_fract_x
_atom_site_fract_y
_atom_site_fract_z
K1 0.1250 0.1250 0.2981
Be1 0.1250 0.1250 0.1250
As1 0.1250 0.1250 0.6250
O1 0.0966 0.2941 0.4188
```



[9]
Material: KBe2As2O6
Method: DFT, PBE
State: optimized geometry

* E_form (uncorrected): -1810 meV per atom
* calculated volume: 13.68 Å³ per atom

The structure in CIF format:
```
data_KBe2As2O6
_chemical_formula_sum 'K2 Be4 As4 O12'
_symmetry_space_group_name_H-M 'C 1 2/m 1'
_symmetry_Int_Tables_number 12
_cell_length_a 7.1739
_cell_length_b 6.8148
_cell_length_c 6.7474
_cell_angle_alpha 90.00
_cell_angle_beta 114.15
_cell_angle_gamma 90.00
loop_
_symmetry_equiv_pos_as_xyz
'x,y,z'
'-x,-y,-z'
'-x,y,-z'
'x,-y,z'
'x+1/2,y+1/2,z'
'-x+1/2,-y+1/2,-z'
'-x+1/2,y+1/2,-z'
'x+1/2,-y+1/2,z'
loop_
_atom_site_label
_atom_site_fract_x
_atom_site_fract_y
_atom_site_fract_z
K1 0.0000 0.0000 0.0000
Be1 0.0000 0.1756 0.5000
As1 0.0748 0.5000 0.2382
O1 0.0531 0.2949 0.7226
O2 0.1783 0.0000 0.5370
```



[10]
Material: K2BeAs2Pb
Method: DFT, PBE
State: optimized geometry

* calculated volume: 28.72 Å³ per atom
* formation enthalpy at 0 K: -0.21 eV per atom

The structure in CIF format:
```
data_K2BeAs2Pb
_chemical_formula_sum 'K8 Be4 As8 Pb4'
_symmetry_space_group_name_H-M 'I b a m'
_symmetry_Int_Tables_number 72
_symmetry_space_group_name_Hall '-I 2 2c'
_cell_length_a 7.2811
_cell_length_b 14.2059
_cell_length_c 6.6640
_cell_angle_alpha 90.00
_cell_angle_beta 90.00
_cell_angle_gamma 90.00
loop_
_atom_site_label
_atom_site_fract_x
_atom_site_fract_y
_atom_site_fract_z
K1 0.2160 0.1782 0.0000
Be1 0.0000 0.0000 0.2500
As1 0.1815 0.0797 0.5000
Pb1 0.0000 0.5000 0.2500
```



[11]
Material: K2Rb4BeAs2
Method: DFT, PBE
State: optimized geometry

* calculated volume: 57.82 Å³ per atom
* formation enthalpy at 0 K: -0.19 eV per atom

The structure in CIF format:
```
data_K2Rb4BeAs2
_chemical_formula_sum 'K4 Rb8 Be2 As4'
_symmetry_space_group_name_H-M 'C 1 2/m 1'
_symmetry_Int_Tables_number 12
_cell_length_a 15.1967
_cell_length_b 13.2048
_cell_length_c 5.5397
_cell_angle_alpha 90.00
_cell_angle_beta 110.57
_cell_angle_gamma 90.00
loop_
_symmetry_equiv_pos_as_xyz
'x,y,z'
'-x,-y,-z'
'-x,y,-z'
'x,-y,z'
'x+1/2,y+1/2,z'
'-x+1/2,-y+1/2,-z'
'-x+1/2,y+1/2,-z'
'x+1/2,-y+1/2,z'
loop_
_atom_site_label
_atom_site_fract_x
_atom_site_fract_y
_atom_site_fract_z
K1 0.1398 0.0000 0.3577
Rb1 0.1254 0.3419 0.9691
Be1 0.0000 0.5000 0.5000
As1 0.1345 0.5000 0.4779
```



[12]
Material: K2RbBeAs2
Method: DFT, PBE
State: optimized geometry

* calculated volume: 31.56 Å³ per atom
* formation enthalpy at 0 K: -0.22 eV per atom

The structure in CIF format:
```
data_K2RbBeAs2
_chemical_formula_sum 'K8 Rb4 Be4 As8'
_symmetry_space_group_name_H-M 'I b a m'
_symmetry_Int_Tables_number 72
_symmetry_space_group_name_Hall '-I 2 2c'
_cell_length_a 8.5355
_cell_length_b 13.5256
_cell_length_c 6.5602
_cell_angle_alpha 90.00
_cell_angle_beta 90.00
_cell_angle_gamma 90.00
loop_
_atom_site_label
_atom_site_fract_x
_atom_site_fract_y
_atom_site_fract_z
K1 0.1783 0.1803 0.0000
Rb1 0.0000 0.5000 0.2500
Be1 0.0000 0.0000 0.2500
As1 0.1609 0.0807 0.5000
```



Number 1: total moment 0.00 Bohr magnetons per cell. Number 2: total moment 0.00 Bohr magnetons per cell. Number 3: total moment 0.00 Bohr magnetons per cell. Number 4: total moment 0.00 Bohr magnetons per cell. Number 5: total moment 0.00 Bohr magnetons per cell. Number 6: total moment 0.00 Bohr magnetons per cell. Number 7: total moment 0.00 Bohr magnetons per cell. Number 8: total moment 0.00 Bohr magnetons per cell. Number 9: total moment 2.07 Bohr magnetons per cell. Number 10: total moment 0.00 Bohr magnetons per cell. Number 11: total moment 0.00 Bohr magnetons per cell. Number 12: total moment 1.43 Bohr magnetons per cell.